This record from Alexandria via LeMat-Bulk describes crystalline BaNiO at its relaxed geometry. The functional is GGA+U.

The structure in POSCAR format:
```
BaNiO
1.0
-1.164 3.261 -1.436
-4.399 1.263 6.437
3.042 1.843 1.718
Ni Ba O
2 2 2
Cartesian
-2.638 5.703 6.606 Ni
-0.437 5.072 3.387 Ni
-2.476 2.835 4.857 Ba
-0.277 2.203 1.638 Ba
-2.055 4.073 7.325 O
0.145 3.442 4.106 O
```

Output
DOS(E_F)   0.18 states/eV/f.u.
Space-group type   No. 123
ΔE to the lowest computed polymorph   171 meV/atom